(1)
# AgH3Pd2

Crystalline AgH3Pd2 at its relaxed geometry (PBE-GGA, Alexandria).

Unit cell a=3.060 b=5.481 c=7.861 alpha=69.87 beta=89.31 gamma=74.03
Space group P-1 (No. 2)
Symmetry-distinct sites (fractional):
Ag1 0.160 0.176 0.079 [2 per cell]
H1 0.008 0.495 0.650 [2 per cell]
H2 0.336 0.825 0.574 [2 per cell]
H3 0.347 0.820 0.280 [2 per cell]
Pd1 0.164 0.173 0.581 [2 per cell]
Pd2 0.495 0.507 0.229 [2 per cell]

The energy above the most stable polymorph in this dataset comes out at 0 meV per atom. Its density of states at the Fermi level is 2.7 states/eV per cell.

---

(2)
# Ag3HPd

Crystalline Ag3HPd at its relaxed geometry (PBE-GGA, Alexandria).

Unit cell a=4.155 b=4.155 c=4.155 alpha=90.00 beta=90.00 gamma=90.00
Space group Pm-3m (No. 221)
Symmetry-distinct sites (fractional):
Ag1 0.000 0.000 0.500 [3 per cell]
H1 0.000 0.000 0.000 [1 per cell]
Pd1 0.500 0.500 0.500 [1 per cell]

The energy above the most stable polymorph in this dataset comes out at 150 meV per atom. Its density of states at the Fermi level is 1.7 states/eV per cell.